No. 1
The following is a PBE calculation of a relaxed Cs2MoRhCl6 crystal, from the Alexandria database.

Properties
crystal system = tetragonal
E_form (uncorrected) = -1.0677 eV per atom
SG = I4/mmm
N(E_F) = 0.0000 states/eV/atom

Cell lengths 7.265, 7.265, 7.261 Å; angles 59.98, 59.98, 90.00 degrees
Last column: magnetic moment on the atom in μB.
Element x y z (fractional)
1 Cs 0.750 0.250 0.500  0.00
2 Cs 0.250 0.750 0.500  0.00
3 Mo 0.500 0.500 0.000  2.62
4 Rh 0.000 0.000 0.000  1.55
5 Cl 0.257 0.257 0.487  0.04
6 Cl 0.743 0.743 0.513  0.04
7 Cl 0.257 0.257 0.000  0.04
8 Cl 0.743 0.743 0.000  0.04
9 Cl 0.743 0.257 0.000  0.04
10 Cl 0.257 0.743 0.000  0.04

---

No. 2
The following is a PBE calculation of a relaxed Y2AgRh crystal, from the Alexandria database.

Properties
crystal system = trigonal
SG = R3m
N(E_F) = 0.6252 states/eV/atom
ΔH_f (0 K) = -0.453 eV per atom

Cell lengths 4.050, 4.050, 7.525 Å; angles 74.39, 74.39, 60.00 degrees
Element x y z (fractional)
1 Y 0.070 0.070 0.790
2 Y 0.263 0.263 0.211
3 Ag 0.502 0.502 0.494
4 Rh 0.665 0.665 0.006

---

No. 3
The following is a PBE calculation of a relaxed CsRhI2Br crystal, from the Alexandria database.

Properties
crystal system = tetragonal
E_form (uncorrected) = -0.6364 eV per atom
SG = P4/mmm
N(E_F) = 0.6949 states/eV/atom

Cell lengths 5.572, 5.572, 5.339 Å; angles 90.00, 90.00, 90.00 degrees
Element x y z (fractional)
1 Cs 0.500 0.500 0.500
2 I 0.000 0.500 0.000
3 I 0.500 0.000 0.000
4 Rh 0.000 0.000 0.000
5 Br 0.000 0.000 0.500

---

No. 4
The following is a PBE calculation of a relaxed ScVAsBr2 crystal, from the Alexandria database.

Properties
crystal system = tetragonal
E_form (uncorrected) = -0.0684 eV per atom
SG = P4/mmm
N(E_F) = 0.6040 states/eV/atom
E above lowest polymorph = 0.30 eV/f.u.

Cell lengths 5.122, 5.122, 5.441 Å; angles 90.00, 90.00, 90.00 degrees
Last column: magnetic moment on the atom in μB.
Element x y z (fractional)
1 Sc 0.000 0.000 0.000  -0.01
2 As 0.000 0.000 0.500  -0.21
3 Br 0.000 0.500 0.000  -0.02
4 Br 0.500 0.000 0.000  -0.02
5 V 0.500 0.500 0.500  3.04

---

No. 5
The following is a PBE calculation of a relaxed Ca2BeSb crystal, from the Alexandria database.

Properties
crystal system = tetragonal
E_form (uncorrected) = -0.0705 eV per atom
SG = I-4m2
N(E_F) = 0.8209 states/eV/atom
E above lowest polymorph = 1.38 eV/f.u.

Cell lengths 6.188, 6.188, 6.188 Å; angles 137.98, 137.98, 60.94 degrees
Element x y z (fractional)
1 Sb 0.500 0.500 0.000
2 Ca 0.000 0.000 0.000
3 Ca 0.250 0.750 0.500
4 Be 0.750 0.250 0.500

---

No. 6
The following is a PBE calculation of a relaxed HoHfPaO6 crystal, from the Alexandria database.

Properties
crystal system = trigonal
E_form (uncorrected) = -3.5236 eV per atom
SG = P-31c
N(E_F) = 0.0000 states/eV/atom

Cell lengths 5.567, 5.567, 9.475 Å; angles 90.00, 90.00, 120.00 degrees
Element x y z (fractional)
1 Ho 0.333 0.667 0.250
2 Ho 0.667 0.333 0.750
3 Hf 0.667 0.333 0.250
4 Hf 0.333 0.667 0.750
5 Pa 0.000 0.000 0.000
6 Pa 0.000 0.000 0.500
7 O 0.681 0.658 0.130
8 O 0.977 0.319 0.130
9 O 0.319 0.977 0.630
10 O 0.023 0.681 0.870
11 O 0.342 0.319 0.370
12 O 0.977 0.658 0.370
13 O 0.658 0.977 0.870
14 O 0.681 0.023 0.370
15 O 0.023 0.342 0.630
16 O 0.342 0.023 0.130
17 O 0.658 0.681 0.630
18 O 0.319 0.342 0.870

---

No. 7
The following is a PBE calculation of a relaxed NiC crystal, from the Alexandria database.

Properties
crystal system = hexagonal
SG = P6/mmm
N(E_F) = 1.0665 states/eV/atom
ΔH_f (0 K) = 1.378 eV per atom

Cell lengths 4.326, 4.326, 3.220 Å; angles 90.00, 90.00, 120.00 degrees
Element x y z (fractional)
1 Ni 0.000 0.000 0.000
2 Ni 0.333 0.667 0.500
3 Ni 0.667 0.333 0.500
4 C 0.500 0.000 0.000
5 C 0.000 0.500 0.000
6 C 0.500 0.500 0.000

---

No. 8
The following is a PBE calculation of a relaxed Mg2GaH crystal, from the Alexandria database.

Properties
crystal system = trigonal
SG = R-3m
N(E_F) = 0.4475 states/eV/atom
E above lowest polymorph = 0.18 eV/f.u.

Cell lengths 3.341, 3.341, 6.814 Å; angles 75.81, 75.81, 60.00 degrees
Element x y z (fractional)
1 H 0.000 0.000 0.000
2 Mg 0.270 0.270 0.191
3 Mg 0.730 0.730 0.809
4 Ga 0.500 0.500 0.500

---

No. 9
The following is a PBE calculation of a relaxed Ti3AgBi crystal, from the Alexandria database.

Properties
crystal system = cubic
SG = Pm-3m
N(E_F) = 1.2406 states/eV/atom
E above lowest polymorph = 0.00 eV/f.u.
ΔH_f (0 K) = 0.755 eV per atom

Cell lengths 4.900, 4.900, 4.900 Å; angles 90.00, 90.00, 90.00 degrees
Last column: magnetic moment on the atom in μB.
Element x y z (fractional)
1 Bi 0.500 0.500 0.500  -0.04
2 Ag 0.000 0.000 0.000  0.02
3 Ti 0.000 0.500 0.000  0.49
4 Ti 0.000 0.000 0.500  0.43
5 Ti 0.500 0.000 0.000  0.60

---

No. 10
The following is a PBE calculation of a relaxed K8Sb crystal, from the Alexandria database.

Properties
crystal system = tetragonal
E_form (uncorrected) = -0.0964 eV per atom
SG = I4/mmm
N(E_F) = 0.6562 states/eV/atom

Cell lengths 10.092, 10.092, 10.092 Å; angles 94.20, 94.20, 148.58 degrees
Element x y z (fractional)
1 K 0.365 0.635 0.000
2 K 0.635 0.365 0.000
3 K 0.000 0.316 0.316
4 K 0.635 0.635 0.270
5 K 0.316 0.000 0.316
6 K 0.365 0.365 0.730
7 K 0.000 0.684 0.684
8 K 0.684 0.000 0.684
9 Sb 0.000 0.000 0.000

---

No. 11
The following is a PBE calculation of a relaxed Cs3Hg2PbF9 crystal, from the Alexandria database.

Properties
crystal system = trigonal
E_form (uncorrected) = -2.1897 eV per atom
SG = P-3m1
N(E_F) = 0.0000 states/eV/atom

Cell lengths 6.701, 6.701, 8.223 Å; angles 90.00, 90.00, 120.00 degrees
Element x y z (fractional)
1 Cs 0.333 0.667 0.677
2 Cs 0.000 0.000 0.000
3 Cs 0.667 0.333 0.323
4 Hg 0.333 0.667 0.163
5 Hg 0.667 0.333 0.837
6 Pb 0.000 0.000 0.500
7 F 0.831 0.169 0.673
8 F 0.831 0.661 0.673
9 F 0.339 0.169 0.673
10 F 0.661 0.831 0.327
11 F 0.169 0.339 0.327
12 F 0.169 0.831 0.327
13 F 0.500 0.000 0.000
14 F 0.000 0.500 0.000
15 F 0.500 0.500 0.000

---

No. 12
The following is a PBE calculation of a relaxed HfSn3 crystal, from the Alexandria database.

Properties
crystal system = orthorhombic
SG = Pmm2
N(E_F) = 0.6892 states/eV/atom
ΔH_f (0 K) = 0.020 eV per atom

Cell lengths 3.764, 5.159, 4.990 Å; angles 90.00, 90.00, 90.00 degrees
Element x y z (fractional)
1 Hf 0.000 0.000 0.984
2 Sn 0.500 0.000 0.469
3 Sn 0.500 0.500 0.858
4 Sn 0.000 0.500 0.356